An optimized crystal structure of Sm3DySc, computed with PBE.

The total DFT energy (no corrections) comes out at -4.86 eV per atom. The value obtained for the energy above the most stable polymorph in this dataset is 0.085 eV/atom. As for the formation energy: 158 meV per atom.

It has space group Pbcm (No. 57), with a = 3.5162 Å, b = 17.3540 Å, c = 10.6349 Å, α = 90.00°, β = 90.00° and γ = 90.00°. The asymmetric unit holds Sm at (0.2472, 0.2500, 0.0000), Sm at (0.2511, 0.5770, 0.0604), Dy at (0.2477, 0.1035, 0.7500) and Sc at (0.2532, 0.7274, 0.2500).